Ba2U3Se8: relaxed, PBE.

extended XYZ file:
```
13
Lattice="-3.574 8.001 1.428 -8.693 1.165 1.378 2.826 -2.163 6.335" Properties=species:S:1:pos:R:3 pbc="T T T"
Se -4.792 3.531 7.811
Ba -7.077 5.254 6.263
U -7.381 2.917 1.391
U -4.886 6.248 1.415
Se -4.512 0.421 4.913
Se -1.709 4.165 4.940
Se -4.649 3.471 1.330
Se -7.732 2.838 4.201
Ba -2.364 1.749 2.878
U 1.413 -1.081 3.167
Se 1.306 -1.022 6.020
Se -10.747 8.025 3.121
Se -4.929 6.582 4.228
```

Computed properties:
**Total moment**: 0.461 μB per atom
**Calculated total energy**: -6.4771 eV/atom